Here is a geometry-optimized NaSi5N7 structure from Alexandria. Energies are from GGA-PBEsol.

a b c (Å): 11.623 20.788 4.886
angles (deg): 90.00 90.00 90.00
Space group Pna2_1 (No. 33)
One atom of each set of equivalent atoms:
Na 0.146 0.189 0.000
Na 0.215 0.993 0.491
Si 0.010 0.543 0.025
Si 0.034 0.110 0.515
Si 0.060 0.031 0.015
Si 0.080 0.700 0.528
Si 0.103 0.850 0.527
Si 0.141 0.778 0.026
Si 0.155 0.349 0.778
Si 0.155 0.350 0.281
Si 0.169 0.563 0.511
Si 0.198 0.639 0.013
N 0.006 0.900 0.363
N 0.016 0.034 0.362
N 0.050 0.522 0.357
N 0.066 0.318 0.030
N 0.067 0.838 0.862
N 0.094 0.398 0.532
N 0.099 0.774 0.366
N 0.127 0.706 0.862
N 0.131 0.572 0.858
N 0.158 0.641 0.361
N 0.162 0.142 0.462
N 0.203 0.028 0.965
N 0.216 0.301 0.529
N 0.248 0.877 0.526

Size of the total moment, μB/atom: 0.00
Electronic total energy, eV per atom: -8.093
Fermi-level density of states, states/eV/cell: 0.00